[1]
Entry from Alexandria: a geometry-optimized Cd2Ni21B6 structure (PBE-GGA).

The structure in CIF format:
```
data_Cd2Ni21B6
_space_group_name_H-M_alt 'F m -3 m'
_space_group_IT_number 225
_space_group_name_Hall '-F 4 2 3'
_cell_length_a 10.599
_cell_length_b 10.599
_cell_length_c 10.599
_cell_angle_alpha 90.00
_cell_angle_beta 90.00
_cell_angle_gamma 90.00
loop_
_atom_site_label
_atom_site_fract_x
_atom_site_fract_y
_atom_site_fract_z
Cd1 0.250 0.250 0.250
Ni1 0.000 0.000 0.000
Ni2 0.000 0.168 0.168
Ni3 0.114 0.114 0.386
B1 0.000 0.000 0.273
```

Size of the total moment: 1.05 μB per formula unit


[2]
Entry from Alexandria: a geometry-optimized CdNiB structure (PBE-GGA).

The structure in CIF format:
```
data_CdNiB
_space_group_name_H-M_alt 'C m c m'
_space_group_IT_number 63
_space_group_name_Hall '-C 2c 2'
_cell_length_a 2.957
_cell_length_b 18.135
_cell_length_c 2.963
_cell_angle_alpha 90.00
_cell_angle_beta 90.00
_cell_angle_gamma 90.00
loop_
_atom_site_label
_atom_site_fract_x
_atom_site_fract_y
_atom_site_fract_z
Cd1 0.000 0.183 0.250
Ni1 0.000 0.058 0.750
B1 0.000 0.475 0.750
```

Size of the total moment: 0.00 μB per formula unit


[3]
Entry from Alexandria: a geometry-optimized CdNiB3 structure (PBE-GGA).

The structure in CIF format:
```
data_CdNiB3
_space_group_name_H-M_alt 'P m -3 m'
_space_group_IT_number 221
_space_group_name_Hall '-P 4 2 3'
_cell_length_a 3.904
_cell_length_b 3.904
_cell_length_c 3.904
_cell_angle_alpha 90.00
_cell_angle_beta 90.00
_cell_angle_gamma 90.00
loop_
_atom_site_label
_atom_site_fract_x
_atom_site_fract_y
_atom_site_fract_z
Cd1 0.000 0.000 0.000
Ni1 0.500 0.500 0.500
B1 0.000 0.500 0.500
```

Size of the total moment: 0.00 μB per formula unit


[4]
Entry from Alexandria: a geometry-optimized CdNi3B structure (PBE-GGA).

The structure in CIF format:
```
data_CdNi3B
_space_group_name_H-M_alt 'P m -3 m'
_space_group_IT_number 221
_space_group_name_Hall '-P 4 2 3'
_cell_length_a 3.910
_cell_length_b 3.910
_cell_length_c 3.910
_cell_angle_alpha 90.00
_cell_angle_beta 90.00
_cell_angle_gamma 90.00
loop_
_atom_site_label
_atom_site_fract_x
_atom_site_fract_y
_atom_site_fract_z
Cd1 0.000 0.000 0.000
Ni1 0.000 0.500 0.500
B1 0.500 0.500 0.500
```

Size of the total moment: 0.00 μB per formula unit


no.,formation energy (meV/atom)
1,-220
2,39
3,1136
4,-117